1.
# YZrTcF2 PBE-GGA optimized geometry
data_YZrTcF2
_chemical_formula_sum 'Y1 Zr1 Tc1 F2'
_symmetry_space_group_name_H-M 'P 4/m m m'
_symmetry_Int_Tables_number 123
_symmetry_space_group_name_Hall '-P 4 2'
_cell_length_a 4.131
_cell_length_b 4.131
_cell_length_c 6.818
_cell_angle_alpha 90.00
_cell_angle_beta 90.00
_cell_angle_gamma 90.00
loop_
_atom_site_label
_atom_site_type_symbol
_atom_site_fract_x
_atom_site_fract_y
_atom_site_fract_z
Y1 Y 0.000 0.000 0.000
Zr1 Zr 0.000 0.000 0.500
Tc1 Tc 0.500 0.500 0.000
F1 F 0.000 0.500 0.500
# Energy relative to the elements, uncorrected = -0.90 eV/atom
# Electronic total energy = -6.724 eV/atom

2.
# NdHoErTm2 PBE-GGA optimized geometry
data_NdHoErTm2
_chemical_formula_sum 'Nd4 Ho4 Er4 Tm8'
_symmetry_space_group_name_H-M 'C m c m'
_symmetry_Int_Tables_number 63
_symmetry_space_group_name_Hall '-C 2c 2'
_cell_length_a 8.326
_cell_length_b 11.394
_cell_length_c 7.163
_cell_angle_alpha 90.00
_cell_angle_beta 90.00
_cell_angle_gamma 90.00
loop_
_atom_site_label
_atom_site_type_symbol
_atom_site_fract_x
_atom_site_fract_y
_atom_site_fract_z
Nd1 Nd 0.000 0.228 0.250
Ho1 Ho 0.000 0.499 0.750
Er1 Er 0.000 0.220 0.750
Tm1 Tm 0.189 0.000 0.000
# Electronic total energy = -4.189 eV/atom
# Energy of formation from the pure elements = 184.1 kJ/mol of formula units

3.
# Na2TiF5 PBE-GGA optimized geometry
data_Na2TiF5
_chemical_formula_sum 'Na8 Ti4 F20'
_symmetry_space_group_name_H-M 'P n m a'
_symmetry_Int_Tables_number 62
_symmetry_space_group_name_Hall '-P 2ac 2n'
_cell_length_a 9.757
_cell_length_b 6.575
_cell_length_c 5.946
_cell_angle_alpha 90.00
_cell_angle_beta 90.00
_cell_angle_gamma 90.00
loop_
_atom_site_label
_atom_site_type_symbol
_atom_site_fract_x
_atom_site_fract_y
_atom_site_fract_z
Na1 Na 0.173 0.002 0.029
Ti1 Ti 0.000 0.250 0.567
F1 F 0.009 0.250 0.907
F2 F 0.080 0.538 0.652
F3 F 0.167 0.250 0.366
F4 F 0.200 0.750 0.331
# Excess energy over the best structure of this formula in the dataset = 0.037 eV/atom
# Energy relative to the elements, uncorrected = -3.03 eV/atom
# Electronic total energy = -5.517 eV/atom

- Which value of electronic total energy does entry 1 give?
  -6.724 eV/atom

- What is the electronic total energy in the first record?
  -6.724 eV/atom

- Look up the electronic total energy of the first one.
  -6.724 eV/atom

- Which of these has the highest electronic total energy?
  NdHoErTm2